# MnInPb2O5 PBE with a Hubbard U optimized geometry
data_MnInPb2O5
_space_group_name_H-M_alt 'C m c 21'
_space_group_IT_number 36
_space_group_name_Hall 'C 2c -2'
_cell_length_a 3.549
_cell_length_b 11.998
_cell_length_c 14.324
_cell_angle_alpha 90.00
_cell_angle_beta 90.00
_cell_angle_gamma 90.00
loop_
_atom_site_label
_atom_site_fract_x
_atom_site_fract_y
_atom_site_fract_z
_atom_site_occupancy
Mn1 0.000 0.234 0.000 1
In1 0.000 0.461 0.410 1
Pb1 0.000 0.075 0.612 1
Pb2 0.000 0.181 0.257 1
O1 0.000 0.072 0.989 1
O2 0.000 0.264 0.582 1
O3 0.000 0.283 0.391 1
O4 0.000 0.395 0.011 1
O5 0.000 0.438 0.793 1
# E_tot: -214.588 eV per cell
# Density: 7.2 Mg/m³
# Magnetization: 16.00 μB/cell